--- P ---
A relaxed SmEuAl2 crystal. Source: Alexandria via LeMat-Bulk, functional PBE.

Unit cell a=3.7235 b=3.7235 c=7.4838 alpha=90.00 beta=90.00 gamma=90.00
With the nearest neighbours (Å) after each atom.
Fractional coordinates of all 4 atoms:
Sm: 0.0000 0.0000 0.0000  8 Al 3.18
Eu: 0.0000 0.0000 0.5000  8 Al 3.28
Al: 0.5000 0.5000 0.2379  4 Sm 3.18, 4 Eu 3.28
Al: 0.5000 0.5000 0.7621  4 Sm 3.18, 4 Eu 3.28

volume	104	Å³/cell
density of states at the Fermi level	6.0	states/eV/cell

--- Q ---
A relaxed SmEuAl2 crystal. Source: Alexandria via LeMat-Bulk, functional PBE.

Unit cell a=7.4465 b=7.4465 c=7.4465 alpha=90.00 beta=90.00 gamma=90.00
With the nearest neighbours (Å) after each atom.
Fractional coordinates of all 16 atoms:
Sm: 0.0000 0.0000 0.0000  8 Al 3.22
Sm: 0.0000 0.5000 0.5000  8 Al 3.22
Sm: 0.5000 0.0000 0.5000  8 Al 3.22
Sm: 0.5000 0.5000 0.0000  8 Al 3.22
Eu: 0.0000 0.0000 0.5000  8 Al 3.22
Eu: 0.0000 0.5000 0.0000  8 Al 3.22
Eu: 0.5000 0.0000 0.0000  8 Al 3.22
Eu: 0.5000 0.5000 0.5000  8 Al 3.22
Al: 0.2500 0.2500 0.2500  4 Sm 3.22, 4 Eu 3.22
Al: 0.2500 0.2500 0.7500  4 Sm 3.22, 4 Eu 3.22
Al: 0.2500 0.7500 0.2500  4 Sm 3.22, 4 Eu 3.22
Al: 0.2500 0.7500 0.7500  4 Sm 3.22, 4 Eu 3.22
Al: 0.7500 0.2500 0.2500  4 Sm 3.22, 4 Eu 3.22
Al: 0.7500 0.2500 0.7500  4 Sm 3.22, 4 Eu 3.22
Al: 0.7500 0.7500 0.2500  4 Sm 3.22, 4 Eu 3.22
Al: 0.7500 0.7500 0.7500  4 Sm 3.22, 4 Eu 3.22

volume	413	Å³/cell
density of states at the Fermi level	26.7	states/eV/cell

Energy comparison, zero being the most stable, in meV/atom: P 0; Q 21.

--- P ---
A relaxed SrEu2Al crystal. Source: Alexandria via LeMat-Bulk, functional PBE.

Unit cell a=5.1211 b=5.1211 c=5.2619 alpha=90.00 beta=90.00 gamma=90.00
With the nearest neighbours (Å) after each atom.
Fractional coordinates of all 4 atoms:
Sr: 0.0000 0.0000 0.0000  4 Al 3.62, 8 Eu 3.67
Eu: 0.0000 0.5000 0.5000  4 Eu 3.62, 4 Al 3.67, 4 Sr 3.67
Eu: 0.5000 0.0000 0.5000  4 Eu 3.62, 4 Al 3.67, 4 Sr 3.67
Al: 0.5000 0.5000 0.0000  4 Sr 3.62, 8 Eu 3.67

volume	138	Å³/cell
density of states at the Fermi level	12.9	states/eV/cell

--- Q ---
A relaxed SrEu2Al crystal. Source: Alexandria via LeMat-Bulk, functional PBE.

Unit cell a=8.1491 b=8.1491 c=8.1491 alpha=90.00 beta=90.00 gamma=90.00
With the nearest neighbours (Å) after each atom.
Fractional coordinates of all 16 atoms:
Sr: 0.0000 0.0000 0.0000  8 Eu 3.53
Sr: 0.0000 0.5000 0.5000  8 Eu 3.53
Sr: 0.5000 0.0000 0.5000  8 Eu 3.53
Sr: 0.5000 0.5000 0.0000  8 Eu 3.53
Eu: 0.2500 0.2500 0.2500  4 Al 3.53, 4 Sr 3.53
Eu: 0.2500 0.2500 0.7500  4 Al 3.53, 4 Sr 3.53
Eu: 0.2500 0.7500 0.2500  4 Al 3.53, 4 Sr 3.53
Eu: 0.2500 0.7500 0.7500  4 Al 3.53, 4 Sr 3.53
Eu: 0.7500 0.2500 0.2500  4 Al 3.53, 4 Sr 3.53
Eu: 0.7500 0.2500 0.7500  4 Al 3.53, 4 Sr 3.53
Eu: 0.7500 0.7500 0.2500  4 Al 3.53, 4 Sr 3.53
Eu: 0.7500 0.7500 0.7500  4 Al 3.53, 4 Sr 3.53
Al: 0.0000 0.0000 0.5000  8 Eu 3.53
Al: 0.0000 0.5000 0.0000  8 Eu 3.53
Al: 0.5000 0.0000 0.0000  8 Eu 3.53
Al: 0.5000 0.5000 0.5000  8 Eu 3.53

volume	541	Å³/cell
density of states at the Fermi level	45.5	states/eV/cell

--- R ---
A relaxed SrEu2Al crystal. Source: Alexandria via LeMat-Bulk, functional PBE.

Unit cell a=3.9136 b=3.9136 c=9.7140 alpha=90.00 beta=90.00 gamma=90.00
With the nearest neighbours (Å) after each atom.
Fractional coordinates of all 4 atoms:
Sr: 0.0000 0.0000 0.0000  4 Sr 3.91, 8 Eu 4.15
Eu: 0.5000 0.5000 0.3182  4 Al 3.28, 1 Eu 3.53
Eu: 0.5000 0.5000 0.6818  4 Al 3.28, 1 Eu 3.53
Al: 0.0000 0.0000 0.5000  8 Eu 3.28

volume	149	Å³/cell
density of states at the Fermi level	12.9	states/eV/cell

Energy comparison, zero being the most stable, in meV/atom: P 116; Q 122; R 0.

--- P ---
A relaxed Tb2EuAl crystal. Source: Alexandria via LeMat-Bulk, functional PBE.

Unit cell a=3.5830 b=3.5830 c=9.3374 alpha=90.00 beta=90.00 gamma=90.00
With the nearest neighbours (Å) after each atom.
Fractional coordinates of all 4 atoms:
Tb: 0.0000 0.0000 0.1980  4 Al 3.14
Tb: 0.0000 0.0000 0.8020  4 Al 3.14
Eu: 0.5000 0.5000 0.5000  4 Eu 3.58, 8 Tb 3.79
Al: 0.5000 0.5000 0.0000  8 Tb 3.14

volume	120	Å³/cell
density of states at the Fermi level	3.7	states/eV/cell

--- Q ---
A relaxed Tb2EuAl crystal. Source: Alexandria via LeMat-Bulk, functional PBE.

Unit cell a=4.8981 b=4.8981 c=4.7279 alpha=90.00 beta=90.00 gamma=90.00
With the nearest neighbours (Å) after each atom.
Fractional coordinates of all 4 atoms:
Tb: 0.0000 0.5000 0.0000  4 Al 3.40, 4 Eu 3.40, 4 Tb 3.46
Tb: 0.5000 0.0000 0.0000  4 Al 3.40, 4 Eu 3.40, 4 Tb 3.46
Eu: 0.0000 0.0000 0.5000  8 Tb 3.40, 4 Al 3.46
Al: 0.5000 0.5000 0.5000  8 Tb 3.40, 4 Eu 3.46

volume	113	Å³/cell
density of states at the Fermi level	4.2	states/eV/cell

Energy comparison, zero being the most stable, in meV/atom: P 0; Q 42.